Record 1
Here is crystalline YCr2Si at its relaxed geometry from the Alexandria database. Energies are from GGA-PBEsol.

Structure (POSCAR):
```
YCr2Si
1.0
3.045 0.000 0.000
0.000 4.357 0.000
-0.466 0.000 4.978
Y Cr Si
1 2 1
Direct
0.000 0.000 0.000
0.310 0.500 0.660
0.690 0.500 0.340
0.500 0.000 0.500
```

Values from the calculation:
* size of the total moment: 0.0 μB/f.u.
* raw formation energy: 0.78 eV per formula unit
* space group: P2/m (10)

=====

Record 2
Here is crystalline TaTl3Tc at its relaxed geometry from the Alexandria database. Energies are from GGA-PBEsol.

Structure (POSCAR):
```
TaTl3Tc
1.0
5.146 0.000 0.000
0.000 5.146 0.000
0.000 0.000 5.146
Ta Tl Tc
1 3 1
Direct
0.000 0.000 0.000
0.000 0.500 0.500
0.500 0.000 0.500
0.500 0.500 0.000
0.500 0.500 0.500
```

Values from the calculation:
* size of the total moment: 4.5 μB/f.u.
* ΔH_f (0 K): 1.5772 eV per atom
* space group: Pm-3m (221)

=====

Record 3
Here is crystalline Li2CdP at its relaxed geometry from the Alexandria database. Energies are from GGA-PBEsol.

Structure (POSCAR):
```
Li2CdP
1.0
4.372 0.000 0.000
0.000 4.372 0.000
0.000 0.000 3.158
Li Cd P
2 1 1
Direct
0.000 0.500 0.000
0.500 0.000 0.000
0.000 0.000 0.500
0.500 0.500 0.500
```

Values from the calculation:
* size of the total moment: 0.0 μB/f.u.
* ΔH_f (0 K): -0.2949 eV per atom
* space group: P4/mmm (123)

=====

Record 4
Here is crystalline Ga2I3 at its relaxed geometry from the Alexandria database. Energies are from GGA-PBEsol.

Structure (POSCAR):
```
Ga2I3
1.0
7.573 0.000 0.000
0.000 8.319 0.000
-7.332 0.000 11.355
Ga I
8 12
Direct
0.128 0.099 0.061
0.128 0.401 0.561
0.258 0.619 0.297
0.258 0.881 0.797
0.742 0.119 0.203
0.742 0.381 0.703
0.872 0.599 0.439
0.872 0.901 0.939
0.053 0.658 0.908
0.053 0.842 0.408
0.315 0.206 0.958
0.315 0.294 0.458
0.418 0.518 0.764
0.418 0.982 0.264
0.582 0.018 0.736
0.582 0.482 0.236
0.685 0.706 0.542
0.685 0.794 0.042
0.947 0.158 0.592
0.947 0.342 0.092
```

Values from the calculation:
* size of the total moment: 0.0 μB/f.u.
* raw formation energy: -1.87 eV per formula unit
* space group: P2_1/c (14)

=====

Record 5
Here is crystalline BeCuPb2 at its relaxed geometry from the Alexandria database. Energies are from GGA-PBEsol.

Structure (POSCAR):
```
BeCuPb2
1.0
3.406 0.000 0.000
0.000 3.406 0.000
0.000 0.000 6.826
Be Cu Pb
1 1 2
Direct
0.000 0.000 0.000
0.000 0.000 0.500
0.500 0.500 0.250
0.500 0.500 0.750
```

Values from the calculation:
* size of the total moment: 0.0 μB/f.u.
* ΔH_f (0 K): 0.5521 eV per atom
* space group: P4/mmm (123)

=====

Record 6
Here is crystalline LiSi2P at its relaxed geometry from the Alexandria database. Energies are from GGA-PBEsol.

Structure (POSCAR):
```
LiSi2P
1.0
3.650 0.000 0.000
0.000 3.650 0.000
0.000 0.000 4.198
Li Si P
1 2 1
Direct
0.000 0.000 0.000
0.000 0.500 0.500
0.500 0.000 0.500
0.500 0.500 0.000
```

Values from the calculation:
* size of the total moment: 0.0 μB/f.u.
* raw formation energy: 0.27 eV per formula unit
* space group: P4/mmm (123)

=====

Record 7
Here is crystalline ZnSeBr2 at its relaxed geometry from the Alexandria database. Energies are from GGA-PBEsol.

Structure (POSCAR):
```
ZnSeBr2
1.0
-1.779 2.565 6.430
1.779 -2.565 6.430
1.779 2.565 -6.430
Zn Se Br
1 1 2
Direct
0.000 0.000 0.000
0.860 0.360 0.500
0.134 0.634 0.500
0.401 0.401 0.000
```

Values from the calculation:
* size of the total moment: 0.0 μB/f.u.
* raw formation energy: -1.17 eV per formula unit
* space group: Imm2 (44)

=====

Record 8
Here is crystalline KCuSe2 at its relaxed geometry from the Alexandria database. Energies are from GGA-PBEsol.

Structure (POSCAR):
```
KCuSe2
1.0
3.859 -3.865 0.000
3.859 3.865 0.000
0.000 0.000 2.762
K Cu Se
1 1 2
Direct
0.000 0.000 0.000
0.500 0.500 0.000
0.000 0.500 0.500
0.500 0.000 0.500
```

Values from the calculation:
* size of the total moment: 0.0 μB/f.u.
* raw formation energy: -0.20 eV per formula unit
* space group: Cmmm (65)

=====

Record 9
Here is crystalline CaZnI2O at its relaxed geometry from the Alexandria database. Energies are from GGA-PBEsol.

Structure (POSCAR):
```
CaZnI2O
1.0
6.010 0.000 0.000
0.000 6.010 0.000
0.000 0.000 4.148
Ca Zn I O
1 1 2 1
Direct
0.000 0.000 0.000
0.500 0.500 0.500
0.000 0.500 0.000
0.500 0.000 0.000
0.000 0.000 0.500
```

Values from the calculation:
* size of the total moment: 0.8 μB/f.u.
* E above lowest polymorph: 0.423 eV/atom
* raw formation energy: -2.55 eV per formula unit
* space group: P4/mmm (123)

=====

Record 10
Here is crystalline Cu2ReRu at its relaxed geometry from the Alexandria database. Energies are from GGA-PBEsol.

Structure (POSCAR):
```
Cu2ReRu
1.0
4.327 -1.327 0.000
4.327 1.327 0.000
-0.769 0.000 4.469
Cu Re Ru
2 1 1
Direct
0.000 0.000 0.000
0.747 0.747 0.205
0.248 0.248 0.709
0.496 0.496 0.499
```

Values from the calculation:
* size of the total moment: 0.0 μB/f.u.
* E above lowest polymorph: 0.097 eV/atom
* ΔH_f (0 K): 0.2327 eV per atom
* space group: Cm (8)

=====

Record 11
Here is crystalline Co3W at its relaxed geometry from the Alexandria database. Energies are from GGA-PBEsol.

Structure (POSCAR):
```
Co3W
1.0
2.616 0.000 0.000
0.000 2.616 0.000
0.000 0.000 6.791
Co W
3 1
Direct
0.000 0.000 0.000
0.500 0.500 0.228
0.500 0.500 0.772
0.000 0.000 0.500
```

Values from the calculation:
* size of the total moment: 3.7 μB/f.u.
* ΔH_f (0 K): 0.1004 eV per atom
* space group: P4/mmm (123)

=====

Record 12
Here is crystalline Tl2PtCl at its relaxed geometry from the Alexandria database. Energies are from GGA-PBEsol.

Structure (POSCAR):
```
Tl2PtCl
1.0
-2.234 2.746 3.716
2.234 -2.746 3.716
2.234 2.746 -3.716
Tl Pt Cl
2 1 1
Direct
0.229 0.229 0.000
0.771 0.771 0.000
0.000 0.500 0.500
0.500 0.000 0.500
```

Values from the calculation:
* size of the total moment: 0.0 μB/f.u.
* E above lowest polymorph: 0.246 eV/atom
* raw formation energy: -0.09 eV per formula unit
* space group: Immm (71)